Crystalline KSrOs4 at its relaxed geometry, computed with PBE.

Unit cell a=5.4651 b=5.4651 c=5.4651 alpha=60.00 beta=60.00 gamma=60.00
Fractional positions:
K (0.0000, 0.0000, 0.0000)
Sr (0.2500, 0.2500, 0.2500)
Os (0.1249, 0.6250, 0.6250)
Os (0.6250, 0.1249, 0.6250)
Os (0.6250, 0.6250, 0.1249)
Os (0.6250, 0.6250, 0.6250)

- E_tot: -7.101 eV per atom
- Density of states at the Fermi level: 1.328 states/eV per atom
- M_tot: 0.28 μB per atom
- DFT formation energy: 848 meV/atom

Crystalline La2PrY6Sc2 at its relaxed geometry, computed with PBE.

Unit cell a=6.0023 b=6.0023 c=11.3038 alpha=91.84 beta=91.84 gamma=114.82
Fractional positions:
La (0.2472, 0.7528, 0.0000)
La (0.7528, 0.2472, 0.0000)
Pr (0.0000, 0.0000, 0.5000)
Y (0.0495, 0.3897, 0.7371)
Y (0.2895, 0.2895, 0.2264)
Y (0.3897, 0.0495, 0.7371)
Y (0.6103, 0.9505, 0.2629)
Y (0.7105, 0.7105, 0.7736)
Y (0.9505, 0.6103, 0.2629)
Sc (0.3399, 0.6601, 0.5000)
Sc (0.6601, 0.3399, 0.5000)

- E_tot: -5.815 eV per atom
- Density of states at the Fermi level: 1.664 states/eV per atom
- M_tot: 0.00 μB per atom
- DFT formation energy: 193 meV/atom